Below is a relaxed structure of Be3FeCu, with properties calculated at the PBE level.

The structure in POSCAR format:
```
Be3FeCu
1.0
3.8939 0.0000 0.0000
0.0000 3.8939 0.0000
0.0000 0.0000 3.8939
Be Cu Fe
3 1 1
Direct
0.5000 0.0000 0.0000
0.0000 0.0000 0.5000
0.0000 0.5000 0.0000
0.5000 0.5000 0.5000
0.0000 0.0000 0.0000
```

Computed properties:
For the density of states at the Fermi level, the calculation gives 3.11 states/eV/f.u. For the energy above the most stable polymorph in this dataset, the calculation gives 82 meV/atom. As for the space group: No. 221. The calculation puts the formation energy at 836 meV/atom. Its magnetization is 0.00 Bohr magnetons per cell. The volume is 11.81 Å³/atom.